# 1
MgCd3In3, optimized geometry, DFT PBE; energy of formation = 0.009 eV per atom; energy = -25.0 eV per cell
1.0
8.556 0.000 0.000
-4.278 7.409 0.000
0.000 0.000 5.407
Mg Cd In
2 6 6
Direct
0.333 0.667 0.250
0.667 0.333 0.750
0.057 0.237 0.250
0.179 0.943 0.250
0.237 0.179 0.750
0.763 0.821 0.250
0.821 0.057 0.750
0.943 0.763 0.750
0.092 0.472 0.750
0.380 0.908 0.750
0.472 0.380 0.250
0.528 0.620 0.750
0.620 0.092 0.250
0.908 0.528 0.250

***

# 2
CsH4I, optimized geometry, DFT PBE; energy = -16.3 eV per cell
1.0
4.943 -2.913 0.000
4.943 2.913 0.000
-4.028 0.000 5.499
Cs H I
1 4 1
Direct
0.000 0.000 0.000
0.345 0.345 0.150
0.471 0.471 0.020
0.529 0.529 0.980
0.655 0.655 0.850
0.500 0.500 0.500

***

# 3
CsPBrCl2, optimized geometry, DFT PBE; ΔE_f (raw) = 0.5114 eV per atom; energy = -9.1 eV per cell
1.0
5.709 0.000 0.000
0.000 5.709 0.000
0.000 0.000 7.002
Cs P Br Cl
1 1 1 2
Direct
0.000 0.000 0.000
0.000 0.000 0.500
0.500 0.500 0.500
0.000 0.500 0.000
0.500 0.000 0.000

***

# 4
Rb3RuF, optimized geometry, DFT PBE; ΔE_f (raw) = -0.2306 eV per atom; energy = -15.2 eV per cell
1.0
5.629 0.000 0.000
0.000 5.629 0.000
0.000 0.000 5.629
Rb Ru F
3 1 1
Direct
0.000 0.000 0.500
0.000 0.500 0.000
0.500 0.000 0.000
0.500 0.500 0.500
0.000 0.000 0.000

***

# 5
Pm2Dy5Sc12, optimized geometry, DFT PBE; energy of formation = 0.140 eV per atom; energy = -105.8 eV per cell
1.0
7.487 -4.324 0.000
7.487 4.324 0.000
-0.357 0.000 8.143
Pm Dy Sc
2 5 12
Direct
0.191 0.809 0.000
0.809 0.191 0.000
0.203 0.203 0.005
0.264 0.264 0.421
0.500 0.500 0.500
0.736 0.736 0.579
0.797 0.797 0.995
0.052 0.052 0.334
0.062 0.684 0.347
0.169 0.525 0.749
0.316 0.938 0.653
0.411 0.411 0.120
0.475 0.831 0.251
0.525 0.169 0.749
0.589 0.589 0.880
0.684 0.062 0.347
0.831 0.475 0.251
0.938 0.316 0.653
0.948 0.948 0.666

***

# 6
Cs2USn2Se6, optimized geometry, DFT PBE; ΔE_f (raw) = -0.8260 eV per atom; energy = -51.0 eV per cell
1.0
6.590 -3.925 0.000
6.590 3.925 0.000
-3.809 0.000 7.983
Cs U Sn Se
2 1 2 6
Direct
0.201 0.201 0.158
0.799 0.799 0.842
0.000 0.000 0.500
0.435 0.435 0.802
0.565 0.565 0.198
0.193 0.717 0.250
0.218 0.218 0.569
0.283 0.807 0.750
0.717 0.193 0.250
0.782 0.782 0.431
0.807 0.283 0.750

***

# 7
InReSi2, optimized geometry, DFT PBE; ΔE_f (raw) = 0.8070 eV per atom; energy = -22.8 eV per cell
1.0
0.000 3.203 3.203
3.203 0.000 3.203
3.203 3.203 0.000
In Re Si
1 1 2
Direct
0.000 0.000 0.000
0.250 0.250 0.250
0.500 0.500 0.500
0.750 0.750 0.750

***

# 8
InSiAg2, optimized geometry, DFT PBE; ΔE_f (raw) = 0.2281 eV per atom; energy = -13.0 eV per cell
1.0
-2.102 2.102 4.292
2.102 -2.102 4.292
2.102 2.102 -4.292
In Si Ag
1 1 2
Direct
0.000 0.000 0.000
0.750 0.250 0.500
0.250 0.750 0.500
0.500 0.500 0.000